Version w
Here is a relaxed structure of FeIrRh from Alexandria. Energies are from PBEsol.

Crystal system: tetragonal

Cell lengths 2.662, 2.662, 10.855 Å; angles 90.00, 90.00, 90.00 degrees
Space group I4mm (No. 107)
Symmetry-distinct sites (fractional):
Fe  0.000  0.000  0.000 [2 per cell]
Ir  0.000  0.000  0.659 [2 per cell]
Rh  0.000  0.000  0.338 [2 per cell]

Version x
Here is a relaxed structure of FeIrRh from Alexandria. Energies are from PBEsol.

Crystal system: cubic

Cell lengths 5.737, 5.737, 5.737 Å; angles 90.00, 90.00, 90.00 degrees
Space group F-43m (No. 216)
Symmetry-distinct sites (fractional):
Fe  0.000  0.000  0.000 [4 per cell]
Ir  0.000  0.000  0.500 [4 per cell]
Rh  0.250  0.250  0.250 [4 per cell]

The structure with the most favorable energy is version w; the runner-up is 748 meV per atom above it.

Version w
Here is a relaxed structure of FeIr2Ru from Alexandria. Energies are from PBEsol.

Crystal system: tetragonal

Cell lengths 3.719, 3.719, 7.466 Å; angles 90.00, 90.00, 90.00 degrees
Space group I-4m2 (No. 119)
Symmetry-distinct sites (fractional):
Fe  0.000  0.000  0.000 [2 per cell]
Ir  0.000  0.000  0.500 [2 per cell]
Ir  0.000  0.500  0.250 [2 per cell]
Ru  0.000  0.500  0.750 [2 per cell]

Version x
Here is a relaxed structure of FeIr2Ru from Alexandria. Energies are from PBEsol.

Crystal system: orthorhombic

Cell lengths 5.285, 7.435, 2.661 Å; angles 90.00, 90.00, 90.00 degrees
Space group Cmmm (No. 65)
Symmetry-distinct sites (fractional):
Fe  0.000  0.000  0.000 [2 per cell]
Ir  0.250  0.250  0.500 [4 per cell]
Ru  0.000  0.500  0.000 [2 per cell]

Version y
Here is a relaxed structure of FeIr2Ru from Alexandria. Energies are from PBEsol.

Crystal system: tetragonal

Cell lengths 3.745, 3.745, 7.513 Å; angles 90.00, 90.00, 90.00 degrees
Space group I4/mmm (No. 139)
Symmetry-distinct sites (fractional):
Fe  0.000  0.000  0.000 [2 per cell]
Ir  0.000  0.500  0.250 [4 per cell]
Ru  0.000  0.000  0.500 [2 per cell]

Version z
Here is a relaxed structure of FeIr2Ru from Alexandria. Energies are from PBEsol.

Crystal system: orthorhombic

Cell lengths 2.672, 3.712, 5.305 Å; angles 90.00, 90.00, 90.00 degrees
Space group Pmmm (No. 47)
Symmetry-distinct sites (fractional):
Fe  0.000  0.000  0.000 [1 per cell]
Ir  0.500  0.500  0.245 [2 per cell]
Ru  0.000  0.000  0.500 [1 per cell]

The structure with the most favorable energy is version z; the runner-up is 7 meV per atom above it.

Version w
Here is a relaxed structure of FeIr2Ru from Alexandria. Energies are from PBEsol.

Crystal system: monoclinic

Cell lengths 8.791, 2.667, 4.581 Å; angles 90.00, 100.43, 90.00 degrees
Space group C2/m (No. 12)
Symmetry-distinct sites (fractional):
Fe  0.000  0.000  0.000 [2 per cell]
Ir  0.248  0.500  0.247 [4 per cell]
Ru  0.000  0.500  0.500 [2 per cell]

Version x
Here is a relaxed structure of FeIr2Ru from Alexandria. Energies are from PBEsol.

Crystal system: orthorhombic

Cell lengths 2.667, 3.718, 5.298 Å; angles 90.00, 90.00, 90.00 degrees
Space group Pmm2 (No. 25)
Symmetry-distinct sites (fractional):
Fe  0.000  0.000  0.000 [1 per cell]
Ir  0.000  0.000  0.507 [1 per cell]
Ir  0.500  0.500  0.239 [1 per cell]
Ru  0.500  0.500  0.756 [1 per cell]

Version y
Here is a relaxed structure of FeIr2Ru from Alexandria. Energies are from PBEsol.

Crystal system: tetragonal

Cell lengths 2.671, 2.671, 7.368 Å; angles 90.00, 90.00, 90.00 degrees
Space group P4/mmm (No. 123)
Symmetry-distinct sites (fractional):
Fe  0.000  0.000  0.000 [1 per cell]
Ir  0.500  0.500  0.243 [2 per cell]
Ru  0.000  0.000  0.500 [1 per cell]

The structure with the most favorable energy is version y; the runner-up is 35 meV per atom above it.